Entry from Alexandria via LeMat-Bulk: crystalline Re2HIrRu at its relaxed geometry (PBE-GGA).

a = 3.9235 Å, b = 3.9235 Å, c = 3.9088 Å
α = 90.00°, β = 90.00°, γ = 90.00°
Last column: nearest neighbours and their distance in Å.
Atoms (fractional coordinates):
Re: 0.0000 0.5000 0.0000  2 H 1.96
Re: 0.5000 0.0000 0.0000  2 H 1.96
H: 0.0000 0.0000 0.0000  2 Ru 1.95, 4 Re 1.96
Ir: 0.5000 0.5000 0.5000  8 Re 2.77, 4 Ru 2.77
Ru: 0.0000 0.0000 0.5000  2 H 1.95

Results
Size of the total moment   0.0 μB per cell
SG   P4/mmm
E   -9.24 eV per atom